No. 1
# NdTcB4 | OQMD via LeMat-Bulk | PBE | relaxed
# SG: P6/mmm
# Uncorrected energy in eV/atom: -7.21
data_NdTcB4
_symmetry_space_group_name_H-M 'P 1'
_symmetry_Int_Tables_number 1
_symmetry_space_group_name_Hall 'P 1'
_cell_length_a 3.1726
_cell_length_b 3.1726
_cell_length_c 7.2851
_cell_angle_alpha 90.00
_cell_angle_beta 90.00
_cell_angle_gamma 120.00
loop_
_atom_site_label
_atom_site_type_symbol
_atom_site_fract_x
_atom_site_fract_y
_atom_site_fract_z
Nd1 Nd 0.0000 0.0000 0.0000
Tc1 Tc 0.0000 0.0000 0.5000
B1 B 0.3333 0.6667 0.2882
B2 B 0.3333 0.6667 0.7118
B3 B 0.6667 0.3333 0.2882
B4 B 0.6667 0.3333 0.7118

=====

No. 2
# NdTcB4 | OQMD via LeMat-Bulk | PBE | relaxed
# SG: Immm
# Uncorrected energy in eV/atom: -7.08
data_NdTcB4
_symmetry_space_group_name_H-M 'P 1'
_symmetry_Int_Tables_number 1
_symmetry_space_group_name_Hall 'P 1'
_cell_length_a 4.8829
_cell_length_b 4.8829
_cell_length_c 4.8829
_cell_angle_alpha 141.91
_cell_angle_beta 112.03
_cell_angle_gamma 80.67
loop_
_atom_site_label
_atom_site_type_symbol
_atom_site_fract_x
_atom_site_fract_y
_atom_site_fract_z
Nd1 Nd 0.0000 0.0000 0.0000
Tc1 Tc 0.5000 0.5000 0.0000
B1 B 0.0928 0.7549 0.3379
B2 B 0.4169 0.7549 0.6621
B3 B 0.5831 0.2451 0.3379
B4 B 0.9072 0.2451 0.6621

=====

No. 3
# NdTcB | OQMD via LeMat-Bulk | PBE | relaxed
# SG: F-43m
# Uncorrected energy in eV/atom: -6.82
data_NdTcB
_symmetry_space_group_name_H-M 'P 1'
_symmetry_Int_Tables_number 1
_symmetry_space_group_name_Hall 'P 1'
_cell_length_a 4.2306
_cell_length_b 4.2306
_cell_length_c 4.2306
_cell_angle_alpha 60.00
_cell_angle_beta 60.00
_cell_angle_gamma 60.00
loop_
_atom_site_label
_atom_site_type_symbol
_atom_site_fract_x
_atom_site_fract_y
_atom_site_fract_z
Nd1 Nd 0.0000 0.0000 0.0000
Tc1 Tc 0.5000 0.5000 0.5000
B1 B 0.2500 0.2500 0.2500

=====

> Which formula does entry 3 have?

NdTcB

=====

> Which formula does entry 2 have?

NdTcB4